First-principles (PBE+U) data for a relaxed CrS2BrO8 crystal, as listed in Alexandria.

crystal system: monoclinic
E: -70.43 eV/cell
M_tot: 0.082 μB/atom

abc: 4.879 4.879 9.000
angles: 104.20 104.20 63.83
Fractional positions:
Cr  0.000  0.000  0.000
S  0.411  0.411  0.181
S  0.589  0.589  0.819
Br  0.000  0.000  0.500
O  0.251  0.251  0.054
O  0.254  0.721  0.837
O  0.279  0.746  0.163
O  0.391  0.391  0.338
O  0.609  0.609  0.662
O  0.721  0.254  0.837
O  0.746  0.279  0.163
O  0.749  0.749  0.946